Record 1
Compound: UPaS2
Source: OQMD via LeMat-Bulk
Functional: PBE
Structure: optimized geometry

Its theoretical density is 10.75 g cm⁻³. The calculation puts the electronic total energy at -8.7592 eV/atom.

It has space group R-3m (No. 166, hexagonal axes), with a = 3.8451 Å, b = 3.8451 Å, c = 19.2937 Å, α = 90.00°, β = 90.00° and γ = 120.00°. The asymmetric unit holds U at (0.0000, 0.0000, 0.0000), Pa at (0.0000, 0.0000, 0.5000) and S at (0.0000, 0.0000, 0.2512).

Record 2
Compound: RbSiAuS3
Source: OQMD via LeMat-Bulk
Functional: PBE
Structure: optimized geometry

Its theoretical density is 4.82 g cm⁻³. The calculation puts the electronic total energy at -4.0539 eV/atom.

It has space group Cmcm (No. 63), with a = 3.478 Å, b = 16.636 Å, c = 9.685 Å, α = 90.00°, β = 90.00° and γ = 90.00°. The asymmetric unit holds Rb at (0.000, 0.212, 0.250), Si at (0.000, 0.500, 0.000), Au at (0.000, 0.112, 0.750), S at (0.000, 0.098, 0.514) and S at (0.000, 0.462, 0.750).

Record 3
Compound: Ta2GeMo
Source: OQMD via LeMat-Bulk
Functional: PBE
Structure: optimized geometry

Its theoretical density is 13.19 g cm⁻³. The calculation puts the electronic total energy at -9.7011 eV/atom.

It has space group F-43m (No. 216), with a = 6.440 Å, b = 6.440 Å, c = 6.440 Å, α = 90.00°, β = 90.00° and γ = 90.00°. The asymmetric unit holds Ta at (0.000, 0.000, 0.000), Ta at (0.250, 0.250, 0.250), Ge at (0.000, 0.000, 0.500) and Mo at (0.250, 0.250, 0.750).